Record 1
# BaZn2Hg2 GGA-PBE relaxed
# * crystal system: monoclinic
# * final energy: -1.20 eV per atom
data_BaZn2Hg2
_cell_length_a 12.9953
_cell_length_b 4.4258
_cell_length_c 11.3305
_cell_angle_alpha 90.00
_cell_angle_beta 124.92
_cell_angle_gamma 90.00
_symmetry_space_group_name_H-M 'C 1 2 1'
_symmetry_Int_Tables_number 5
_symmetry_space_group_name_Hall 'C 2y'
loop_
_atom_site_label
_atom_site_type_symbol
_atom_site_fract_x
_atom_site_fract_y
_atom_site_fract_z
Ba1 Ba 0.0000 0.0000 0.0000
Ba2 Ba 0.0000 0.2489 0.5000
Zn1 Zn 0.1054 0.4936 0.8455
Zn2 Zn 0.2402 0.2429 0.3456
Hg1 Hg 0.1199 0.7541 0.3546
Hg2 Hg 0.2348 0.0050 0.8547

=====

Record 2
# Ta4As3W2N3 GGA-PBE relaxed
# * crystal system: monoclinic
# * final energy: -9.65 eV per atom
data_Ta4As3W2N3
_cell_length_a 9.7105
_cell_length_b 5.6449
_cell_length_c 12.9384
_cell_angle_alpha 90.00
_cell_angle_beta 107.85
_cell_angle_gamma 90.00
_symmetry_space_group_name_H-M 'C 1 2/c 1'
_symmetry_Int_Tables_number 15
_symmetry_space_group_name_Hall '-C 2yc'
loop_
_atom_site_label
_atom_site_type_symbol
_atom_site_fract_x
_atom_site_fract_y
_atom_site_fract_z
Ta1 Ta 0.1115 0.0732 0.0853
Ta2 Ta 0.2254 0.0712 0.4045
As1 As 0.0000 0.1176 0.7500
As2 As 0.1727 0.3808 0.2420
W1 W 0.0701 0.4871 0.8904
N1 N 0.0555 0.2923 0.5273
N2 N 0.2500 0.2500 0.0000

=====

Record 3
# LiHoZnSe3 GGA-PBE relaxed
# * crystal system: orthorhombic
# * final energy: -4.30 eV per atom
data_LiHoZnSe3
_cell_length_a 3.9596
_cell_length_b 13.0524
_cell_length_c 10.8381
_cell_angle_alpha 90.00
_cell_angle_beta 90.00
_cell_angle_gamma 90.00
_symmetry_space_group_name_H-M 'C m c m'
_symmetry_Int_Tables_number 63
_symmetry_space_group_name_Hall '-C 2c 2'
loop_
_atom_site_label
_atom_site_type_symbol
_atom_site_fract_x
_atom_site_fract_y
_atom_site_fract_z
Li1 Li 0.0000 0.2247 0.2500
Ho1 Ho 0.0000 0.0000 0.0000
Zn1 Zn 0.0000 0.4759 0.7500
Se1 Se 0.0000 0.0931 0.7500
Se2 Se 0.0000 0.3575 0.5752